A geometry-optimized Mn3BiB4O12 structure, computed with PBE+U.

As for the total magnetization: 12.0 μB/f.u. The density of states at the Fermi level comes out at 0.210 states/eV/atom. The value obtained for the volume is 10.68 Å³/atom. For the total energy, the calculation gives -7.558 eV per atom.

The space group is R32 (No. 155, hexagonal axes) and the conventional cell measures 9.7284, 9.7284 and 7.8172 Å, with angles of 90.00, 90.00 and 120.00 degrees. Symmetry generates all atoms from Mn at (0.0000, 0.5476, 0.0000), Bi at (0.0000, 0.0000, 0.0000), B at (0.0000, 0.0000, 0.5000), B at (0.0000, 0.4512, 0.5000), O at (0.0000, 0.5942, 0.5000), O at (0.0000, 0.8575, 0.5000) and O at (0.0202, 0.2095, 0.1832).